# 1
This record from Alexandria describes a geometry-optimized Pr2Ho3Ir2 structure. The functional is PBE.

Values from the calculation:
The symmetry is C2/m (12). Its formation energy is -0.59 eV/atom. The value obtained for the total energy is -45.126 eV for the cell shown.

```
data_Pr2Ho3Ir2
_symmetry_space_group_name_H-M 'P 1'
_symmetry_Int_Tables_number 1
_cell_length_a 6.4603
_cell_length_b 6.4603
_cell_length_c 9.0783
_cell_angle_alpha 115.84
_cell_angle_beta 115.84
_cell_angle_gamma 34.52
loop_
_symmetry_equiv_pos_as_xyz
'x,y,z'
loop_
_atom_site_label
_atom_site_fract_x
_atom_site_fract_y
_atom_site_fract_z
Pr1 0.1651 0.1651 0.3053
Pr2 0.8349 0.8349 0.6947
Ho1 0.3791 0.3791 0.0692
Ho2 0.5000 0.5000 0.5000
Ho3 0.6209 0.6209 0.9308
Ir1 0.1704 0.1704 0.7418
Ir2 0.8296 0.8296 0.2582
```

# 2
This record from Alexandria describes a geometry-optimized PrHo2Ir2 structure. The functional is PBE.

Values from the calculation:
The symmetry is P2_1/m (11). Its formation energy is -0.69 eV/atom. The value obtained for the total energy is -70.252 eV for the cell shown.

```
data_PrHo2Ir2
_symmetry_space_group_name_H-M 'P 1'
_symmetry_Int_Tables_number 1
_cell_length_a 5.4933
_cell_length_b 4.4702
_cell_length_c 10.5293
_cell_angle_alpha 90.00
_cell_angle_beta 96.64
_cell_angle_gamma 90.00
loop_
_symmetry_equiv_pos_as_xyz
'x,y,z'
loop_
_atom_site_label
_atom_site_fract_x
_atom_site_fract_y
_atom_site_fract_z
Pr1 0.0717 0.2500 0.2826
Pr2 0.9283 0.7500 0.7174
Ho1 0.2684 0.7500 0.0274
Ho2 0.3753 0.2500 0.6104
Ho3 0.6247 0.7500 0.3896
Ho4 0.7316 0.2500 0.9726
Ir1 0.1580 0.7500 0.4690
Ir2 0.2039 0.2500 0.8654
Ir3 0.7961 0.7500 0.1346
Ir4 0.8420 0.2500 0.5310
```

# 3
This record from Alexandria describes a geometry-optimized PrHoIrRh structure. The functional is PBE.

Values from the calculation:
The symmetry is F-43m (216). Its formation energy is -0.71 eV/atom. The value obtained for the total energy is -28.399 eV for the cell shown.

```
data_PrHoIrRh
_symmetry_space_group_name_H-M 'P 1'
_symmetry_Int_Tables_number 1
_cell_length_a 4.9404
_cell_length_b 4.9404
_cell_length_c 4.9404
_cell_angle_alpha 60.00
_cell_angle_beta 60.00
_cell_angle_gamma 60.00
loop_
_symmetry_equiv_pos_as_xyz
'x,y,z'
loop_
_atom_site_label
_atom_site_fract_x
_atom_site_fract_y
_atom_site_fract_z
Pr1 0.0000 0.0000 0.0000
Ho1 0.5000 0.5000 0.5000
Ir1 0.7500 0.7500 0.7500
Rh1 0.2500 0.2500 0.2500
```

# 4
This record from Alexandria describes a geometry-optimized PrHoIrRu structure. The functional is PBE.

Values from the calculation:
The symmetry is F-43m (216). Its formation energy is -0.42 eV/atom. The value obtained for the total energy is -29.166 eV for the cell shown.

```
data_PrHoIrRu
_symmetry_space_group_name_H-M 'P 1'
_symmetry_Int_Tables_number 1
_cell_length_a 4.9207
_cell_length_b 4.9207
_cell_length_c 4.9207
_cell_angle_alpha 60.00
_cell_angle_beta 60.00
_cell_angle_gamma 60.00
loop_
_symmetry_equiv_pos_as_xyz
'x,y,z'
loop_
_atom_site_label
_atom_site_fract_x
_atom_site_fract_y
_atom_site_fract_z
Pr1 0.0000 0.0000 0.0000
Ho1 0.5000 0.5000 0.5000
Ir1 0.7500 0.7500 0.7500
Ru1 0.2500 0.2500 0.2500
```

# 5
This record from Alexandria describes a geometry-optimized PrHoSiIr structure. The functional is PBE.

Values from the calculation:
The calculation puts the uncorrected formation energy at -0.791 eV/atom. The symmetry is Amm2 (38). The value obtained for the total energy is -26.804 eV for the cell shown.

```
data_PrHoSiIr
_symmetry_space_group_name_H-M 'P 1'
_symmetry_Int_Tables_number 1
_cell_length_a 3.8631
_cell_length_b 6.0504
_cell_length_c 6.0504
_cell_angle_alpha 41.46
_cell_angle_beta 90.00
_cell_angle_gamma 90.00
loop_
_symmetry_equiv_pos_as_xyz
'x,y,z'
loop_
_atom_site_label
_atom_site_fract_x
_atom_site_fract_y
_atom_site_fract_z
Pr1 0.0000 0.0000 0.0000
Ho1 0.5000 0.2798 0.2798
Si1 0.5000 0.5928 0.5928
Ir1 0.0000 0.7274 0.7274
```

# 6
This record from Alexandria describes a geometry-optimized Pr2HoSn3Ir4 structure. The functional is PBE.

Values from the calculation:
The symmetry is P-4m2 (115). Its formation energy is -0.63 eV/atom. The value obtained for the total energy is -67.843 eV for the cell shown.

```
data_Pr2HoSn3Ir4
_symmetry_space_group_name_H-M 'P 1'
_symmetry_Int_Tables_number 1
_cell_length_a 4.4028
_cell_length_b 4.4028
_cell_length_c 11.6181
_cell_angle_alpha 90.00
_cell_angle_beta 90.00
_cell_angle_gamma 90.00
loop_
_symmetry_equiv_pos_as_xyz
'x,y,z'
loop_
_atom_site_label
_atom_site_fract_x
_atom_site_fract_y
_atom_site_fract_z
Pr1 0.0000 0.5000 0.2333
Pr2 0.5000 0.0000 0.7667
Ho1 0.0000 0.0000 0.5000
Sn1 0.0000 0.5000 0.8731
Sn2 0.5000 0.0000 0.1269
Sn3 0.5000 0.5000 0.5000
Ir1 0.0000 0.0000 0.0000
Ir2 0.0000 0.5000 0.6476
Ir3 0.5000 0.0000 0.3524
Ir4 0.5000 0.5000 0.0000
```

Question: What is the formula in the third record?
Answer: PrHoIrRh

Please write out number 5 again, unchanged.
This record from Alexandria describes a geometry-optimized PrHoSiIr structure. The functional is PBE.

Values from the calculation:
The calculation puts the uncorrected formation energy at -0.791 eV/atom. The symmetry is Amm2 (38). The value obtained for the total energy is -26.804 eV for the cell shown.

```
data_PrHoSiIr
_symmetry_space_group_name_H-M 'P 1'
_symmetry_Int_Tables_number 1
_cell_length_a 3.8631
_cell_length_b 6.0504
_cell_length_c 6.0504
_cell_angle_alpha 41.46
_cell_angle_beta 90.00
_cell_angle_gamma 90.00
loop_
_symmetry_equiv_pos_as_xyz
'x,y,z'
loop_
_atom_site_label
_atom_site_fract_x
_atom_site_fract_y
_atom_site_fract_z
Pr1 0.0000 0.0000 0.0000
Ho1 0.5000 0.2798 0.2798
Si1 0.5000 0.5928 0.5928
Ir1 0.0000 0.7274 0.7274
```